{"formula": "HgC3", "functional": "PBE", "state": "relaxed", "e_form_mev_per_atom": 2354, "polymorph_energy_kj_per_mol_atoms": 155.7, "e_tot_ev_per_atom": -4.640, "magmom_total_mub_per_fu": 0.0, "volume_a3_per_cell": 156.6, "lattice_angstrom": [[2.4576, -4.2567, 0.0000], [2.4576, 4.2567, 0.0000], [0.0000, 0.0000, 7.4835]], "species": ["C", "C", "C", "C", "C", "C", "Hg", "Hg"], "frac_coords": [[0.0999, 0.9001, 0.2500], [0.1999, 0.0999, 0.7500], [0.9001, 0.8001, 0.7500], [0.9001, 0.0999, 0.7500], [0.8001, 0.9001, 0.2500], [0.0999, 0.1999, 0.2500], [0.3333, 0.6667, 0.7500], [0.6667, 0.3333, 0.2500]]}



{"formula": "SnPtSe2", "functional": "PBE", "state": "relaxed", "e_tot_ev_per_atom": -4.355, "magmom_total_mub_per_fu": 0.0, "formation_energy_uncorrected_ev_per_atom": -0.102, "volume_a3_per_cell": 224.5, "lattice_angstrom": [[6.0147, 0.0000, 0.0000], [0.0000, 6.0147, 0.0000], [3.0073, 3.0073, 6.2070]], "species": ["Sn", "Sn", "Pt", "Pt", "Se", "Se", "Se", "Se"], "frac_coords": [[0.5000, 0.5000, 0.0000], [0.2500, 0.7500, 0.5000], [0.7500, 0.2500, 0.5000], [0.0000, 0.0000, 0.0000], [0.3750, 0.3287, 0.7500], [0.0787, 0.6250, 0.2500], [0.8750, 0.9213, 0.7500], [0.6713, 0.1250, 0.2500]]}



{"formula": "SmTh2In2Ag2", "functional": "PBE", "state": "relaxed", "e_form_mev_per_atom": -146, "e_tot_ev_per_atom": -4.537, "magmom_total_mub_per_fu": 0.0, "volume_a3_per_cell": 186.4, "lattice_angstrom": [[4.8912, 0.0000, 0.0000], [2.4456, 4.2359, 0.0000], [2.4456, 1.4120, 8.9978]], "species": ["Ag", "Ag", "In", "In", "Th", "Th", "Sm"], "frac_coords": [[0.3988, 0.3988, 0.8037], [0.6012, 0.6012, 0.1963], [0.7340, 0.7340, 0.7980], [0.2660, 0.2660, 0.2020], [0.1295, 0.1295, 0.6114], [0.8705, 0.8705, 0.3886], [0.0000, 0.0000, 0.0000]]}



{"formula": "Pr5Dy4Tm3", "functional": "PBE", "state": "relaxed", "e_form_mev_per_atom": 256, "e_tot_ev_per_atom": -4.387, "magmom_total_mub_per_fu": 0.0, "volume_a3_per_cell": 400.1, "lattice_angstrom": [[-5.1128, 2.5598, 1.0433], [-3.4524, 2.0331, -5.7174], [-6.7318, -8.9994, 5.2809]], "species": ["Pr", "Pr", "Pr", "Pr", "Pr", "Dy", "Dy", "Dy", "Dy", "Tm", "Tm", "Tm"], "frac_coords": [[0.5000, 0.5000, 0.5000], [0.1166, 0.5317, 0.2351], [0.4916, 0.1087, 0.9080], [0.5084, 0.8913, 0.0920], [0.8834, 0.4683, 0.7649], [0.7976, 0.3507, 0.0540], [0.8243, 0.0961, 0.2553], [0.2024, 0.6493, 0.9460], [0.1757, 0.9039, 0.7447], [0.3477, 0.9082, 0.3964], [0.0000, 0.5000, 0.5000], [0.6523, 0.0918, 0.6036]]}



{"formula": "LaFe2Cu", "functional": "PBE", "state": "relaxed", "e_form_mev_per_atom": 502, "e_tot_ev_per_atom": -5.986, "magmom_total_mub_per_fu": 4.0, "volume_a3_per_cell": 66.0, "lattice_angstrom": [[4.8257, 0.0008, 0.0022], [-2.2949, 4.7217, -0.0038], [0.2359, 0.9958, 2.8978]], "species": ["Fe", "Fe", "Cu", "La"], "frac_coords": [[0.0000, 0.0000, 0.0000], [0.5000, 0.0000, 0.5000], [0.5000, 0.5000, 0.0000], [0.0000, 0.5000, 0.5000]]}



{"formula": "Ge2Bi2S7", "functional": "PBE", "state": "relaxed", "e_tot_ev_per_atom": -4.334, "magmom_total_mub_per_fu": 0.0, "formation_energy_uncorrected_ev_per_atom": -0.162, "volume_a3_per_cell": 298.1, "lattice_angstrom": [[-4.0592, 1.6492, -4.1472], [0.8154, -6.7386, -2.2763], [-4.6331, -0.8796, 5.3866]], "species": ["S", "S", "S", "S", "S", "S", "S", "Bi", "Bi", "Ge", "Ge"], "frac_coords": [[0.5000, 0.0000, 0.0000], [0.7593, 0.9150, 0.5664], [0.7593, 0.5664, 0.9150], [0.2626, 0.5978, 0.5978], [0.2407, 0.0850, 0.4336], [0.7374, 0.4022, 0.4022], [0.2407, 0.4336, 0.0850], [0.0000, 0.6978, 0.3022], [0.0000, 0.3022, 0.6978], [0.4128, 0.2319, 0.2319], [0.5872, 0.7681, 0.7681]]}



{"formula": "LaCd3In2", "functional": "PBE", "state": "relaxed", "e_form_mev_per_atom": -268, "polymorph_energy_kj_per_mol_atoms": 0.0, "e_tot_ev_per_atom": -2.460, "magmom_total_mub_per_fu": 0.0, "volume_a3_per_cell": 308.5, "lattice_angstrom": [[-3.0267, 3.7120, -0.7124], [-5.0908, -7.8835, -2.9920], [0.1411, 1.5480, 7.4661]], "species": ["In", "In", "In", "In", "La", "La", "Cd", "Cd", "Cd", "Cd", "Cd", "Cd"], "frac_coords": [[0.7637, 0.5273, 0.1976], [0.5208, 0.0416, 0.2102], [0.2363, 0.4727, 0.8024], [0.4792, 0.9584, 0.7898], [0.1179, 0.2359, 0.0540], [0.8821, 0.7641, 0.9460], [0.3019, 0.6037, 0.5226], [0.3706, 0.7413, 0.2432], [0.9339, 0.8678, 0.5444], [0.6294, 0.2587, 0.7568], [0.6981, 0.3963, 0.4774], [0.0661, 0.1322, 0.4556]]}



{"formula": "YMg2Cu", "functional": "PBE", "state": "relaxed", "e_form_mev_per_atom": 119, "e_tot_ev_per_atom": -3.318, "magmom_total_mub_per_fu": 0.0, "volume_a3_per_cell": 91.1, "lattice_angstrom": [[-5.9843, 0.1727, -7.4434], [-8.0847, -0.8127, -5.0222], [-7.4445, 2.4496, -5.4613]], "species": ["Mg", "Mg", "Y", "Cu"], "frac_coords": [[0.4840, 0.4840, 0.4840], [0.0160, 0.0160, 0.0160], [0.2500, 0.2500, 0.2500], [0.7500, 0.7500, 0.7500]]}



{"formula": "YGa3AgAu", "functional": "PBE", "state": "relaxed", "e_form_mev_per_atom": -162, "e_tot_ev_per_atom": -3.774, "magmom_total_mub_per_fu": 0.0, "volume_a3_per_cell": 276.0, "lattice_angstrom": [[-0.6411, -4.9532, -2.5239], [5.4215, 0.1201, -1.6129], [-0.4274, -4.1127, 8.1798]], "species": ["Ga", "Ga", "Ga", "Ga", "Ga", "Ga", "Ag", "Ag", "Y", "Y", "Au", "Au"], "frac_coords": [[0.0000, 0.7403, 0.0000], [0.2500, 0.2472, 0.4943], [0.5000, 0.2597, 0.0000], [0.7500, 0.7528, 0.5057], [0.5000, 0.7403, 0.0000], [0.0000, 0.2597, 0.0000], [0.2500, 0.1002, 0.2004], [0.7500, 0.8998, 0.7996], [0.2500, 0.6755, 0.3511], [0.7500, 0.3245, 0.6489], [0.2500, 0.3923, 0.7847], [0.7500, 0.6077, 0.2153]]}



{"formula": "Rb3As4Pd2", "functional": "PBE", "state": "relaxed", "e_form_mev_per_atom": -431, "e_tot_ev_per_atom": -3.974, "magmom_total_mub_per_fu": 0.0, "volume_a3_per_cell": 267.3, "lattice_angstrom": [[-3.5868, 0.9102, 2.3056], [1.3630, -2.0221, 6.2888], [3.0341, 7.5552, 6.9313]], "species": ["Rb", "Rb", "Rb", "As", "As", "As", "As", "Pd", "Pd"], "frac_coords": [[0.4201, 0.8262, 0.3998], [0.5799, 0.1738, 0.6002], [0.0000, 0.0000, 0.0000], [0.8537, 0.5489, 0.6920], [0.3241, 0.3382, 0.0972], [0.1463, 0.4511, 0.3080], [0.6759, 0.6618, 0.9028], [0.2648, 0.5409, 0.8300], [0.7352, 0.4591, 0.1700]]}



{"formula": "CeZnPt3", "functional": "PBE", "state": "relaxed", "e_form_mev_per_atom": -488, "e_tot_ev_per_atom": -5.554, "magmom_total_mub_per_fu": 0.4, "volume_a3_per_cell": 203.3, "lattice_angstrom": [[-2.0714, -3.2618, 3.2347], [4.4152, 0.3439, 3.1742], [-3.0917, 5.6239, 3.6912]], "species": ["Pt", "Pt", "Pt", "Pt", "Pt", "Pt", "Ce", "Ce", "Zn", "Zn"], "frac_coords": [[0.5000, 0.0000, 0.5000], [0.0000, 0.9053, 0.8253], [0.0000, 0.0947, 0.1747], [0.0000, 0.5947, 0.3253], [0.5000, 0.5000, 0.0000], [0.0000, 0.4053, 0.6747], [0.5000, 0.0000, 0.0000], [0.5000, 0.5000, 0.5000], [0.0000, 0.5000, 0.0000], [0.0000, 0.0000, 0.5000]]}



{"formula": "Sr2TeMo", "functional": "PBE", "state": "relaxed", "e_tot_ev_per_atom": -4.087, "magmom_total_mub_per_fu": 4.0, "formation_energy_uncorrected_ev_per_atom": 0.247, "volume_a3_per_cell": 144.6, "lattice_angstrom": [[4.6153, 0.0000, 0.0000], [0.0000, 4.6155, 0.0000], [0.0000, 0.0000, 6.7888]], "species": ["Te", "Mo", "Sr", "Sr"], "frac_coords": [[0.0000, 0.0000, 0.4356], [0.5000, 0.5000, 0.8170], [0.5000, 0.5000, 0.3172], [0.0000, 0.0000, 0.9303]]}



{"formula": "PmNdTlCu", "functional": "PBE", "state": "relaxed", "e_form_mev_per_atom": -212, "e_tot_ev_per_atom": -4.207, "magmom_total_mub_per_fu": 0.4, "volume_a3_per_cell": 107.1, "lattice_angstrom": [[-4.3739, 1.6692, -2.5494], [-3.4294, -3.5498, -2.0136], [-4.7961, -0.6383, 2.2375]], "species": ["Tl", "Nd", "Cu", "Pm"], "frac_coords": [[0.7500, 0.7500, 0.7500], [0.5000, 0.5000, 0.5000], [0.2500, 0.2500, 0.2500], [0.0000, 0.0000, 0.0000]]}



{"formula": "Sm4CCl2O", "functional": "PBE", "state": "relaxed", "e_tot_ev_per_atom": -6.157, "magmom_total_mub_per_fu": 0.0, "formation_energy_uncorrected_ev_per_atom": -1.563, "volume_a3_per_cell": 162.6, "lattice_angstrom": [[-0.2082, -2.9156, 2.2714], [5.8929, 1.1521, 2.0190], [-4.5125, 3.6899, 4.3228]], "species": ["Sm", "Sm", "Sm", "Sm", "Cl", "Cl", "O", "C"], "frac_coords": [[0.0000, 0.2691, 0.8101], [0.5000, 0.2310, 0.1877], [0.5000, 0.7690, 0.8123], [0.0000, 0.7309, 0.1899], [0.5000, 0.0000, 0.5000], [0.0000, 0.5000, 0.5000], [0.0000, 0.0000, 0.0000], [0.5000, 0.5000, 0.0000]]}



{"formula": "AcLa3Pr4", "functional": "PBE", "state": "relaxed", "e_form_mev_per_atom": 16, "polymorph_energy_kj_per_mol_atoms": 0.0, "e_tot_ev_per_atom": -4.735, "magmom_total_mub_per_fu": 0.0, "volume_a3_per_cell": 599.5, "lattice_angstrom": [[-6.7423, -3.1939, -0.7448], [0.6560, -2.9799, 6.8398], [-4.5752, 8.6746, 4.2180]], "species": ["Pr", "Pr", "Pr", "Pr", "Pr", "Pr", "Pr", "Pr", "Ac", "Ac", "La", "La", "La", "La", "La", "La"], "frac_coords": [[0.7536, 0.0606, 0.2498], [0.7536, 0.0606, 0.7502], [0.9999, 0.8104, 0.0000], [0.5004, 0.8107, 0.5000], [0.2464, 0.5606, 0.2502], [0.4996, 0.3107, 0.0000], [0.2464, 0.5606, 0.7498], [0.0001, 0.3104, 0.5000], [0.5005, 0.3106, 0.5000], [0.4995, 0.8106, 0.0000], [0.2456, 0.0606, 0.2502], [0.7544, 0.5606, 0.7502], [0.7544, 0.5606, 0.2498], [0.0000, 0.3106, 0.0000], [0.2456, 0.0606, 0.7498], [0.0000, 0.8106, 0.5000]]}



{"formula": "NaZnCoH6", "functional": "PBE", "state": "relaxed", "e_tot_ev_per_atom": -3.403, "magmom_total_mub_per_fu": 0.1, "volume_a3_per_cell": 81.7, "lattice_angstrom": [[4.4226, -0.0017, -0.0004], [2.2099, 3.8301, 0.0010], [-0.0003, 0.0013, 4.8228]], "species": ["Zn", "Na", "H", "H", "H", "H", "H", "H", "Co"], "frac_coords": [[0.6666, 0.6667, 0.5000], [0.9999, 0.0000, 0.0000], [0.0531, 0.5953, 0.7002], [0.5953, 0.0534, 0.3001], [0.0523, 0.3528, 0.2991], [0.5950, 0.3515, 0.6998], [0.3529, 0.0523, 0.7009], [0.3519, 0.5949, 0.3000], [0.3328, 0.3331, 0.5000]]}



{"formula": "Sr2HgCl2", "functional": "PBE", "state": "relaxed", "polymorph_energy_kj_per_mol_atoms": 18.1, "e_tot_ev_per_atom": -2.799, "magmom_total_mub_per_fu": 0.0, "formation_energy_uncorrected_ev_per_atom": -1.327, "volume_a3_per_cell": 291.9, "lattice_angstrom": [[-0.6013, 6.0629, 6.3387], [6.1774, -4.2179, 4.6204], [2.6749, 2.0488, -1.7059]], "species": ["Cl", "Cl", "Cl", "Cl", "Hg", "Hg", "Sr", "Sr", "Sr", "Sr"], "frac_coords": [[0.3755, 0.8755, 0.0000], [0.8755, 0.6245, 0.0000], [0.1245, 0.3755, 0.0000], [0.6245, 0.1245, 0.0000], [0.5000, 0.5000, 0.0000], [0.0000, 0.0000, 0.0000], [0.3160, 0.1840, 0.5000], [0.8160, 0.3160, 0.5000], [0.6840, 0.8160, 0.5000], [0.1840, 0.6840, 0.5000]]}



{"formula": "NbTeI", "functional": "PBE", "state": "relaxed", "polymorph_energy_kj_per_mol_atoms": 4.7, "e_tot_ev_per_atom": -5.369, "magmom_total_mub_per_fu": 0.0, "formation_energy_uncorrected_ev_per_atom": -0.449, "volume_a3_per_cell": 187.1, "lattice_angstrom": [[3.6227, 0.0000, 0.0000], [-0.0007, 6.5706, 0.0002], [-0.0286, -2.5719, 7.8624]], "species": ["I", "I", "Nb", "Nb", "Te", "Te"], "frac_coords": [[0.4796, 0.7557, 0.8470], [0.4835, 0.2799, 0.3171], [0.4810, 0.4325, 0.0346], [0.9814, 0.0753, 0.0566], [0.9828, 0.7553, 0.2415], [0.9790, 0.2303, 0.7780]]}



{"formula": "CaP2Br", "functional": "PBE", "state": "relaxed", "polymorph_energy_kj_per_mol_atoms": 84.2, "e_tot_ev_per_atom": -3.583, "magmom_total_mub_per_fu": 0.0, "formation_energy_uncorrected_ev_per_atom": 0.040, "volume_a3_per_cell": 85.0, "lattice_angstrom": [[-4.0825, -2.6682, 1.9445], [1.0658, -1.0200, -5.0390], [2.0830, -2.4977, 0.9462]], "species": ["Br", "P", "P", "Ca"], "frac_coords": [[0.5000, 0.0000, 0.5000], [0.5000, 0.5000, 0.0000], [0.0000, 0.0000, 0.0000], [0.0000, 0.5000, 0.5000]]}



{"formula": "CeWS2", "functional": "PBE", "state": "relaxed", "e_tot_ev_per_atom": -7.224, "magmom_total_mub_per_fu": 0.3, "formation_energy_uncorrected_ev_per_atom": -0.439, "volume_a3_per_cell": 77.4, "lattice_angstrom": [[-0.6308, -3.0132, 0.6468], [0.4778, -1.1194, 2.9008], [-8.5013, 0.8770, 3.4443]], "species": ["S", "S", "Ce", "W"], "frac_coords": [[0.8940, 0.8940, 0.3180], [0.1060, 0.1060, 0.6820], [0.0000, 0.0000, 0.0000], [0.5000, 0.5000, 0.5000]]}



{"formula": "CoHSBr", "functional": "PBE", "state": "relaxed", "polymorph_energy_kj_per_mol_atoms": 15.3, "e_tot_ev_per_atom": -4.107, "magmom_total_mub_per_fu": 1.8, "volume_a3_per_cell": 60.4, "lattice_angstrom": [[3.4660, 0.0000, 0.0000], [0.0000, 3.4660, 0.0000], [0.0000, 0.0000, 5.0300]], "species": ["S", "Co", "H", "Br"], "frac_coords": [[0.5000, 0.5000, 0.5855], [0.0000, 0.0000, 0.5566], [0.5000, 0.5000, 0.8557], [0.0000, 0.0000, 0.0700]]}